# 1
Rb2BrF at its PBEsol-relaxed geometry, computed with meta-GGA SCAN.

Cell: 7.0487 7.0487 7.0487 Å, 103.40 112.59 112.59°
Closest atoms and distances in Å follow each position.
Positions (direct):
Br (0.5000, 0.7500, 0.2500)  4 Rb 3.36
Br (0.0000, 0.0000, 0.0000)  4 Rb 3.36
Rb (0.9291, 0.5541, 0.1250)  2 F 2.64
Rb (0.0709, 0.1959, 0.6250)  2 F 2.64
Rb (0.4291, 0.8750, 0.8041)  2 F 2.64
Rb (0.5709, 0.3750, 0.4459)  2 F 2.64
F (0.5000, 0.2500, 0.7500)  4 Rb 2.64
F (0.0000, 0.5000, 0.5000)  4 Rb 2.64

Properties
- SG: I-42d, No. 122
- Formation energy (no corrections): -9.25 eV per formula unit
- Size of the total moment: 0.00 μB/f.u.

# 2
Na3DySi6O15 at its PBEsol-relaxed geometry, computed with meta-GGA SCAN.

Cell: 10.5784 11.5242 11.5242 Å, 100.92 90.00 90.00°
Closest atoms and distances in Å follow each position.
Positions (direct):
Na (0.7533, 0.9290, 0.0710)  4 O 2.54-2.67
Na (0.0000, 0.7635, 0.7635)  4 O 2.25-2.27
Na (0.7500, 0.4718, 0.0282)  4 O 2.38-2.49
Na (0.2500, 0.5282, 0.9718)  4 O 2.38-2.49
Na (0.7467, 0.4290, 0.5710)  4 O 2.54-2.67
Na (0.7500, 0.9718, 0.5282)  4 O 2.38-2.49
Na (0.5000, 0.2635, 0.2635)  4 O 2.25-2.27
Na (0.2500, 0.0282, 0.4718)  4 O 2.38-2.49
Na (0.0000, 0.2365, 0.2365)  4 O 2.25-2.27
Na (0.2533, 0.5710, 0.4290)  4 O 2.54-2.67
Na (0.2467, 0.0710, 0.9290)  4 O 2.54-2.67
Na (0.5000, 0.7365, 0.7365)  4 O 2.25-2.27
Dy (0.2500, 0.3409, 0.1591)  6 O 2.20-2.26
Dy (0.7500, 0.1591, 0.3409)  6 O 2.20-2.26
Dy (0.2500, 0.8409, 0.6591)  6 O 2.20-2.26
Dy (0.7500, 0.6591, 0.8409)  6 O 2.20-2.26
Si (0.7002, 0.6921, 0.5288)  4 O 1.60-1.65
Si (0.7998, 0.9712, 0.8079)  4 O 1.60-1.65
Si (0.0204, 0.4725, 0.7403)  4 O 1.59-1.66
Si (0.0204, 0.2597, 0.5275)  4 O 1.59-1.66
Si (0.2998, 0.5288, 0.6921)  4 O 1.60-1.65
Si (0.5344, 0.4165, 0.7960)  4 O 1.59-1.65
Si (0.4796, 0.9725, 0.2403)  4 O 1.59-1.66
Si (0.2998, 0.3079, 0.4712)  4 O 1.60-1.65
Si (0.5344, 0.2040, 0.5835)  4 O 1.59-1.65
Si (0.9796, 0.7403, 0.4725)  4 O 1.59-1.66
Si (0.4656, 0.7960, 0.4165)  4 O 1.59-1.65
Si (0.9796, 0.5275, 0.2597)  4 O 1.59-1.66
Si (0.5204, 0.2403, 0.9725)  4 O 1.59-1.66
Si (0.7998, 0.1921, 0.0288)  4 O 1.60-1.65
Si (0.9656, 0.7040, 0.0835)  4 O 1.59-1.65
Si (0.7002, 0.4712, 0.3079)  4 O 1.60-1.65
Si (0.4656, 0.5835, 0.2040)  4 O 1.59-1.65
Si (0.0344, 0.0835, 0.7040)  4 O 1.59-1.65
Si (0.0344, 0.2960, 0.9165)  4 O 1.59-1.65
Si (0.9656, 0.9165, 0.2960)  4 O 1.59-1.65
Si (0.2002, 0.8079, 0.9712)  4 O 1.60-1.65
Si (0.2002, 0.0288, 0.1921)  4 O 1.60-1.65
Si (0.4796, 0.7597, 0.0275)  4 O 1.59-1.66
Si (0.5204, 0.0275, 0.7597)  4 O 1.59-1.66
O (0.5762, 0.0797, 0.2515)  1 Si 1.59
O (0.0110, 0.3937, 0.6063)  2 Si 1.64
O (0.9852, 0.3864, 0.8332)  2 Si 1.63
O (0.6817, 0.6535, 0.6538)  1 Si 1.60
O (0.3183, 0.6538, 0.6535)  1 Si 1.60
O (0.8313, 0.7667, 0.5168)  2 Si 1.65-1.66
O (0.3416, 0.8439, 0.4884)  1 Si 1.59
O (0.0762, 0.7515, 0.5797)  1 Si 1.59
O (0.0762, 0.4203, 0.2485)  1 Si 1.59
O (0.1817, 0.1538, 0.1535)  1 Si 1.60
O (0.5871, 0.7816, 0.5027)  2 Si 1.64-1.65
O (0.7978, 0.0725, 0.9275)  2 Si 1.63
O (0.4238, 0.2515, 0.0797)  1 Si 1.59
O (0.4852, 0.1136, 0.6668)  2 Si 1.63
O (0.0148, 0.6136, 0.1668)  2 Si 1.63
O (0.5148, 0.8864, 0.3332)  2 Si 1.63
O (0.5110, 0.1063, 0.8937)  2 Si 1.64
O (0.5640, 0.3358, 0.6642)  2 Si 1.65
O (0.8416, 0.9884, 0.3439)  1 Si 1.59
O (0.6687, 0.9832, 0.7333)  2 Si 1.65-1.66
O (0.4129, 0.2184, 0.4973)  2 Si 1.64-1.65
O (0.4129, 0.5027, 0.7816)  2 Si 1.64-1.65
O (0.8313, 0.4832, 0.2333)  2 Si 1.65-1.66
O (0.5762, 0.7485, 0.9203)  1 Si 1.59
O (0.8416, 0.6561, 0.0116)  1 Si 1.59
O (0.6817, 0.3462, 0.3465)  1 Si 1.60
O (0.6687, 0.2667, 0.0168)  2 Si 1.65-1.66
O (0.8183, 0.8462, 0.8465)  1 Si 1.60
O (0.1687, 0.5168, 0.7667)  2 Si 1.65-1.66
O (0.3313, 0.7333, 0.9832)  2 Si 1.65-1.66
O (0.4890, 0.8937, 0.1063)  2 Si 1.64
O (0.4238, 0.9203, 0.7485)  1 Si 1.59
O (0.3313, 0.0168, 0.2667)  2 Si 1.65-1.66
O (0.9129, 0.2816, 0.0027)  2 Si 1.64-1.65
O (0.2022, 0.9275, 0.0725)  2 Si 1.63
O (0.1817, 0.8465, 0.8462)  1 Si 1.60
O (0.5148, 0.6668, 0.1136)  2 Si 1.63
O (0.4852, 0.3332, 0.8864)  2 Si 1.63
O (0.3416, 0.5116, 0.1561)  1 Si 1.59
O (0.0640, 0.1642, 0.8358)  2 Si 1.65
O (0.9238, 0.5797, 0.7515)  1 Si 1.59
O (0.6584, 0.1561, 0.5116)  1 Si 1.59
O (0.9129, 0.9973, 0.7184)  2 Si 1.64-1.65
O (0.4360, 0.6642, 0.3358)  2 Si 1.65
O (0.6584, 0.4884, 0.8439)  1 Si 1.59
O (0.0148, 0.8332, 0.3864)  2 Si 1.63
O (0.9852, 0.1668, 0.6136)  2 Si 1.63
O (0.7022, 0.5725, 0.4275)  2 Si 1.63
O (0.9360, 0.8358, 0.1642)  2 Si 1.65
O (0.0871, 0.7184, 0.9973)  2 Si 1.64-1.65
O (0.9890, 0.6063, 0.3937)  2 Si 1.64
O (0.5871, 0.4973, 0.2184)  2 Si 1.64-1.65
O (0.1584, 0.0116, 0.6561)  1 Si 1.59
O (0.9238, 0.2485, 0.4203)  1 Si 1.59
O (0.1687, 0.2333, 0.4832)  2 Si 1.65-1.66
O (0.1584, 0.3439, 0.9884)  1 Si 1.59
O (0.0871, 0.0027, 0.2816)  2 Si 1.64-1.65
O (0.3183, 0.3465, 0.3462)  1 Si 1.60
O (0.8183, 0.1535, 0.1538)  1 Si 1.60
O (0.2978, 0.4275, 0.5725)  2 Si 1.63

Properties
- SG: Cmce, No. 64
- Formation energy (no corrections): -74.85 eV per formula unit
- Size of the total moment: 0.00 μB/f.u.

# 3
Tc2AgW at its PBEsol-relaxed geometry, computed with meta-GGA SCAN.

Cell: 3.8774 3.8804 4.7979 Å, 113.85 113.83 90.00°
Closest atoms and distances in Å follow each position.
Positions (direct):
Ag (0.2479, 0.7479, 0.4958)  8 Tc 2.74-2.77, 4 W 2.76-2.77
Tc (0.9970, 0.9970, 0.9939)  4 Tc 2.70-2.83, 4 W 2.74, 4 Ag 2.76-2.77
Tc (0.7582, 0.2582, 0.5164)  4 W 2.70-2.83, 4 Tc 2.70-2.83, 4 Ag 2.74
W (0.4969, 0.4969, 0.9939)  8 Tc 2.70-2.83, 4 Ag 2.76-2.77

Properties
- SG: Imm2, No. 44
- Size of the total moment: 0.00 μB/f.u.
- Formation energy: 10.2 kcal/mol of atoms

# 4
LaHg2 at its PBEsol-relaxed geometry, computed with meta-GGA SCAN.

Cell: 5.1929 6.5404 9.1965 Å, 90.00 90.00 90.00°
Closest atoms and distances in Å follow each position.
Positions (direct):
Hg (0.7500, 0.9894, 0.7388)  7 Hg 3.25-3.57, 6 La 3.41-3.53
Hg (0.2500, 0.5106, 0.2388)  7 Hg 3.25-3.57, 6 La 3.41-3.53
Hg (0.7500, 0.4894, 0.7612)  7 Hg 3.25-3.57, 6 La 3.41-3.53
Hg (0.2500, 0.0106, 0.2612)  7 Hg 3.25-3.57, 6 La 3.41-3.53
Hg (0.7500, 0.7919, 0.4144)  5 La 3.05-3.31, 3 Hg 3.25-3.28
Hg (0.2500, 0.7081, 0.9144)  5 La 3.05-3.31, 3 Hg 3.25-3.28
Hg (0.7500, 0.2919, 0.0856)  5 La 3.05-3.31, 3 Hg 3.25-3.28
Hg (0.2500, 0.2081, 0.5856)  5 La 3.05-3.31, 3 Hg 3.25-3.28
La (0.7500, 0.2859, 0.4176)  7 Hg 3.05-3.41
La (0.2500, 0.2141, 0.9176)  7 Hg 3.05-3.41
La (0.7500, 0.7859, 0.0824)  7 Hg 3.05-3.41
La (0.2500, 0.7141, 0.5824)  7 Hg 3.05-3.41

Properties
- SG: Pnma, No. 62
- Size of the total moment: 0.00 μB/f.u.
- Formation energy: -15.2 kcal/mol of atoms